(1)
A plane-wave DFT calculation with GGA-PBE was carried out for a relaxed Be5Ag crystal.

Properties
V = 9.78 Å³ per atom
formation enthalpy at 0 K = 0.144 eV per atom

```
Be5Ag
1.0
1.6996 -5.1522 0.0000
1.6996 5.1522 0.0000
0.0000 0.0000 3.3492
Be Ag
5 1
Cartesian
0.0000 0.0000 0.0000
1.6996 3.3170 1.6746
1.6996 1.8592 0.0000
1.6996 -1.8592 0.0000
1.6996 -3.3170 1.6746
1.6996 0.0000 1.6746
```

***

(2)
A plane-wave DFT calculation with GGA-PBE was carried out for a relaxed ScMn2AlC crystal.

Properties
V = 13.12 Å³ per atom
E above lowest polymorph = 0 meV per atom
formation enthalpy at 0 K = -0.178 eV per atom

```
ScMn2AlC
1.0
3.8781 0.0000 0.0000
0.0000 3.8781 0.0000
0.0000 0.0000 4.3620
Sc Mn Al C
1 2 1 1
Cartesian
0.0000 0.0000 0.0000
0.0000 1.9391 2.1810
1.9391 0.0000 2.1810
1.9391 1.9391 0.0000
0.0000 0.0000 2.1810
```

***

(3)
A plane-wave DFT calculation with GGA-PBE was carried out for a relaxed SmEr2Pd crystal.

Properties
V = 28.30 Å³ per atom
E above lowest polymorph = 163 meV per atom
formation enthalpy at 0 K = -0.309 eV per atom

```
SmEr2Pd
1.0
1.8320 1.0577 9.7350
-1.8320 1.0577 9.7350
0.0000 -2.1154 9.7350
Sm Er Pd
1 2 1
Cartesian
0.0000 0.0000 0.0000
0.0000 0.0000 6.7638
0.0000 0.0000 22.4411
0.0000 0.0000 14.6025
```

***

(4)
A plane-wave DFT calculation with GGA-PBE was carried out for a relaxed HoAlN crystal.

Properties
V = 17.50 Å³ per atom
energy relative to the elements, uncorrected = -1.043 eV/atom

```
HoAlN
1.0
3.7300 0.0000 0.0000
0.0000 4.8461 0.0000
0.0000 0.0000 5.8086
Ho Al N
2 2 2
Cartesian
0.9325 1.2115 0.6730
2.7975 3.6346 5.1356
0.9325 3.6346 2.5418
2.7975 1.2115 3.2669
0.9325 3.6346 0.6409
2.7975 1.2115 5.1677
```

***

(5)
A plane-wave DFT calculation with GGA-PBE was carried out for a relaxed Ce6BiS12 crystal.

Properties
V = 26.23 Å³ per atom
energy relative to the elements, uncorrected = -1.695 eV/atom

```
Ce6BiS12
1.0
6.1714 3.5630 3.7772
-6.1714 3.5630 3.7772
0.0000 -7.1261 3.7772
Ce Bi S
6 1 12
Cartesian
-3.2077 -3.0383 5.8772
-4.2351 1.2588 5.4545
1.0274 -4.2971 5.4545
-1.0274 4.2971 5.8772
4.2351 -1.2588 5.8772
3.2077 3.0383 5.4545
0.0000 0.0000 5.6659
-1.5773 -5.1601 4.9440
-5.2575 -1.2141 6.3877
-2.3907 -0.5242 4.4181
-3.6802 3.9460 4.9440
1.6493 -1.8083 4.4181
-0.7414 -2.3325 6.9137
0.7414 2.3325 4.4181
-1.6493 1.8083 6.9137
3.6802 -3.9460 6.3877
2.3907 0.5242 6.9137
5.2574 1.2141 4.9440
1.5773 5.1601 6.3877
```

***

(6)
A plane-wave DFT calculation with GGA-PBE was carried out for a relaxed MnBeRh2 crystal.

Properties
V = 12.76 Å³ per atom
formation enthalpy at 0 K = 0.078 eV per atom

```
MnBeRh2
1.0
1.4050 -2.2423 0.0000
1.4050 2.2423 0.0000
0.0000 0.0000 8.0999
Mn Be Rh
1 1 2
Cartesian
0.0000 0.0000 0.0000
1.4050 0.0000 1.8589
0.0000 0.0000 3.5962
1.4050 0.0000 5.9988
```